(1)
Density functional theory data (PBE) for a relaxed structure of SrNbNi.

```
SrNbNi
1.0
2.4574 -2.4628 0.0000
2.4574 2.4628 0.0000
0.0000 0.0000 11.3774
Sr Nb Ni
2 2 2
direct
0.0000 0.0000 0.1617
0.0000 0.0000 0.8383
0.5000 0.5000 0.3986
0.5000 0.5000 0.6014
0.0000 0.0000 0.5000
0.5000 0.5000 0.0000
```

Energy relative to the elements (kJ per mole of atoms): 40.73
Space-group type: Cmmm, No. 65
Crystal system: orthorhombic

---

(2)
Density functional theory data (PBE) for a relaxed structure of AlZnSi2.

```
AlZnSi2
1.0
2.6124 0.0000 0.0000
0.0000 4.7235 0.0000
0.0000 0.0000 5.0867
Al Zn Si
1 1 2
direct
0.0000 0.0000 0.0000
0.5000 0.0000 0.5000
0.0000 0.5000 0.5000
0.5000 0.5000 0.0000
```

Space-group type: Pmmm, No. 47
Formation energy (no corrections) (eV per formula unit): 1.21
Crystal system: orthorhombic

---

(3)
Density functional theory data (PBE) for a relaxed structure of Th6Mn2Au.

```
Th6Mn2Au
1.0
-4.6219 4.7463 5.3405
4.6219 -4.7463 5.3405
4.6219 4.7463 -5.3405
Th Mn Au
12 4 2
direct
0.0399 0.2371 0.8028
0.1873 0.2942 0.4815
0.1873 0.7058 0.8932
0.3333 0.0241 0.6907
0.3333 0.6426 0.3093
0.4342 0.2371 0.1972
0.5658 0.7629 0.8028
0.6667 0.3574 0.6907
0.6667 0.9759 0.3093
0.8127 0.2942 0.1068
0.8127 0.7058 0.5185
0.9601 0.7629 0.1972
0.1227 0.6227 0.5000
0.3377 0.0000 0.3377
0.6623 0.0000 0.6623
0.8773 0.3773 0.5000
0.0000 0.0000 0.0000
0.5000 0.5000 0.0000
```

Energy relative to the elements (kJ per mole of atoms): -6.39
Space-group type: Immm, No. 71
Crystal system: orthorhombic

---

(4)
Density functional theory data (PBE) for a relaxed structure of Al2OsRu.

```
Al2OsRu
1.0
1.4931 -2.3626 0.0000
1.4931 2.3626 0.0000
0.0000 0.0000 8.0796
Al Os Ru
2 1 1
direct
0.0000 0.0000 0.2466
0.0000 0.0000 0.7534
0.5000 0.5000 0.5000
0.5000 0.5000 0.0000
```

Energy relative to the elements (kJ per mole of atoms): -22.71
Space-group type: Cmmm, No. 65
Crystal system: orthorhombic

---

(5)
Density functional theory data (PBE) for a relaxed structure of Tm7Tl2Te2.

```
Tm7Tl2Te2
1.0
5.4900 -4.2370 0.0000
5.4900 4.2370 0.0000
-1.3263 0.0000 7.0915
Tm Tl Te
7 2 2
direct
0.0000 0.0000 0.0000
0.0345 0.4310 0.2750
0.4310 0.0345 0.2750
0.4881 0.4881 0.7292
0.5119 0.5119 0.2708
0.5690 0.9655 0.7250
0.9655 0.5690 0.7250
0.1801 0.8199 0.5000
0.8199 0.1801 0.5000
0.2781 0.2781 0.9467
0.7219 0.7219 0.0533
```

Space-group type: C2/m, No. 12
Formation energy (no corrections) (eV per formula unit): -3.29
Crystal system: monoclinic

---

(6)
Density functional theory data (PBE) for a relaxed structure of Tb2HoLu.

```
Tb2HoLu
1.0
3.5187 0.0000 0.0000
0.0000 3.5187 0.0000
0.0000 0.0000 9.9489
Tb Ho Lu
2 1 1
direct
0.0000 0.0000 0.2477
0.0000 0.0000 0.7523
0.5000 0.5000 0.5000
0.5000 0.5000 0.0000
```

Energy relative to the elements (kJ per mole of atoms): 2.28
Space-group type: P4/mmm, No. 123
Crystal system: tetragonal

---

(7)
Density functional theory data (PBE) for a relaxed structure of Pm4Pr3Sm8.

```
Pm4Pr3Sm8
1.0
7.0693 -6.1613 0.0000
7.0693 6.1613 0.0000
-3.3924 0.0000 6.0395
Pm Pr Sm
4 3 8
direct
0.0000 0.0000 0.0000
0.0000 0.0000 0.5000
0.0000 0.5000 0.0000
0.5000 0.0000 0.0000
0.0000 0.5000 0.5000
0.5000 0.0000 0.5000
0.5000 0.5000 0.0000
0.2486 0.2486 0.7505
0.2486 0.7514 0.0000
0.2973 0.2973 0.2971
0.2984 0.7016 0.5000
0.7016 0.2984 0.5000
0.7027 0.7027 0.7029
0.7514 0.2486 0.0000
0.7514 0.7514 0.2495
```

Energy relative to the elements (kJ per mole of atoms): 30.57
Space-group type: C2/m, No. 12
Crystal system: monoclinic

---

(8)
Density functional theory data (PBE) for a relaxed structure of Rb2TiBiO4.

```
Rb2TiBiO4
1.0
7.7629 0.0000 0.0000
0.0000 6.6158 0.0000
0.0000 0.0000 7.0540
Rb Ti Bi O
4 2 2 8
direct
0.2504 0.1914 0.0000
0.2496 0.8086 0.5000
0.7496 0.1914 0.0000
0.7504 0.8086 0.5000
0.0000 0.3812 0.5382
0.5000 0.6188 0.0382
0.0000 0.6856 0.0293
0.5000 0.3144 0.5293
0.0000 0.5287 0.3179
0.0000 0.5857 0.7163
0.1983 0.2300 0.5614
0.3017 0.7700 0.0614
0.5000 0.4143 0.2163
0.5000 0.4713 0.8179
0.6983 0.7700 0.0614
0.8017 0.2300 0.5614
```

Space-group type: Pmn2_1, No. 31
Formation energy (no corrections) (eV per formula unit): -15.01
Crystal system: orthorhombic

---

no.,energy (eV per atom)
1,-5.422
2,-3.663
3,-7.415
4,-7.233
5,-4.146
6,-4.566
7,-4.423
8,-6.069